Entry 1:
Sr2ZnGeSe: optimized geometry, GGA-PBE.

a = 5.852 Å, b = 5.852 Å, c = 4.824 Å
α = 90.00°, β = 90.00°, γ = 90.00°
Element x y z (fractional)
Sr 0.000 0.500 0.000
Sr 0.500 0.000 0.000
Zn 0.000 0.000 0.500
Ge 0.500 0.500 0.500
Se 0.000 0.000 0.000

**Density**: 3943 kg/m3
**Space group**: P4/mmm (123)
**Crystal system**: tetragonal
**ΔE_f (raw)**: -0.438 eV per atom

=====

Entry 2:
RbAc2Tb: optimized geometry, GGA-PBE.

a = 14.266 Å, b = 14.266 Å, c = 14.266 Å
α = 15.79°, β = 15.79°, γ = 15.79°
Element x y z (fractional)
Rb 0.000 0.000 0.000
Ac 0.097 0.097 0.097
Ac 0.903 0.903 0.903
Tb 0.500 0.500 0.500

**Density**: 6191 kg/m3
**Space group**: R-3m (166)
**Crystal system**: trigonal
**Formation energy**: 198 meV/atom

=====

- Look up the density of the first one.
  3943 kg/m3

=====

- Which value of density does entry 1 give?
  3943 kg/m3

=====

- What is the density in the second record?
  6191 kg/m3